1.
The following is a PBE-GGA calculation of a geometry-optimized NdAs2Au4 structure, from the Alexandria database.

Properties
The value obtained for the total energy is -4.24 eV per atom. The value obtained for the formation energy is -0.358 eV/atom.

abc: 8.0667 8.0667 4.4391
angles: 90.00 90.00 90.00
Sites, in units of the cell vectors:
Nd 0.0000 0.0000 0.0000
Nd 0.5000 0.5000 0.5000
As 0.2166 0.2166 0.5000
As 0.2834 0.7166 0.0000
As 0.7166 0.2834 0.0000
As 0.7834 0.7834 0.5000
Au 0.0850 0.6639 0.5000
Au 0.1639 0.4150 0.0000
Au 0.3361 0.9150 0.5000
Au 0.4150 0.1639 0.0000
Au 0.5850 0.8361 0.0000
Au 0.6639 0.0850 0.5000
Au 0.8361 0.5850 0.0000
Au 0.9150 0.3361 0.5000


2.
The following is a PBE-GGA calculation of a geometry-optimized Nd2AsAu structure, from the Alexandria database.

Properties
The value obtained for the total energy is -5.41 eV per atom. The value obtained for the formation energy is -1.046 eV/atom.

abc: 7.8423 7.8423 7.8423
angles: 30.90 30.90 30.90
Sites, in units of the cell vectors:
Nd 0.0000 0.0000 0.0000
Nd 0.1782 0.1782 0.1782
As 0.5886 0.5886 0.5886
Au 0.4221 0.4221 0.4221


3.
The following is a PBE-GGA calculation of a geometry-optimized Nd12As3Au5 structure, from the Alexandria database.

Properties
The value obtained for the total energy is -4.79 eV per atom. The value obtained for the formation energy is -0.413 eV/atom.

abc: 15.1496 15.1496 15.1496
angles: 109.47 109.47 109.47
Sites, in units of the cell vectors:
Nd 0.0552 0.2231 0.1312
Nd 0.0552 0.3321 0.9240
Nd 0.0760 0.6312 0.4081
Nd 0.0760 0.9448 0.6679
Nd 0.0919 0.7231 0.6679
Nd 0.0919 0.8688 0.4240
Nd 0.1312 0.0552 0.2231
Nd 0.1312 0.5760 0.9081
Nd 0.1679 0.2231 0.5919
Nd 0.1679 0.4448 0.5760
Nd 0.2231 0.1312 0.0552
Nd 0.2231 0.5919 0.1679
Nd 0.2769 0.3321 0.9081
Nd 0.2769 0.4448 0.3688
Nd 0.3321 0.9081 0.2769
Nd 0.3321 0.9240 0.0552
Nd 0.3688 0.2769 0.4448
Nd 0.3688 0.5919 0.9240
Nd 0.4081 0.0760 0.6312
Nd 0.4081 0.8321 0.7769
Nd 0.4240 0.0919 0.8688
Nd 0.4240 0.8321 0.5552
Nd 0.4448 0.3688 0.2769
Nd 0.4448 0.5760 0.1679
Nd 0.5552 0.4240 0.8321
Nd 0.5552 0.6312 0.7231
Nd 0.5760 0.1679 0.4448
Nd 0.5760 0.9081 0.1312
Nd 0.5919 0.1679 0.2231
Nd 0.5919 0.9240 0.3688
Nd 0.6312 0.4081 0.0760
Nd 0.6312 0.7231 0.5552
Nd 0.6679 0.0760 0.9448
Nd 0.6679 0.0919 0.7231
Nd 0.7231 0.5552 0.6312
Nd 0.7231 0.6679 0.0919
Nd 0.7769 0.4081 0.8321
Nd 0.7769 0.8688 0.9448
Nd 0.8321 0.5552 0.4240
Nd 0.8321 0.7769 0.4081
Nd 0.8688 0.4240 0.0919
Nd 0.8688 0.9448 0.7769
Nd 0.9081 0.1312 0.5760
Nd 0.9081 0.2769 0.3321
Nd 0.9240 0.0552 0.3321
Nd 0.9240 0.3688 0.5919
Nd 0.9448 0.6679 0.0760
Nd 0.9448 0.7769 0.8688
As 0.1250 0.2500 0.3750
As 0.1250 0.3750 0.7500
As 0.2500 0.3750 0.1250
As 0.2500 0.8750 0.6250
As 0.3750 0.1250 0.2500
As 0.3750 0.7500 0.1250
As 0.6250 0.2500 0.8750
As 0.6250 0.8750 0.7500
As 0.7500 0.1250 0.3750
As 0.7500 0.6250 0.8750
As 0.8750 0.6250 0.2500
As 0.8750 0.7500 0.6250
Au 0.0000 0.0000 0.0000
Au 0.0000 0.0000 0.5000
Au 0.0000 0.5000 0.0000
Au 0.0000 0.5000 0.5000
Au 0.1250 0.7500 0.8750
Au 0.1250 0.8750 0.2500
Au 0.2500 0.1250 0.8750
Au 0.2500 0.6250 0.3750
Au 0.3750 0.2500 0.6250
Au 0.3750 0.6250 0.7500
Au 0.5000 0.0000 0.0000
Au 0.5000 0.0000 0.5000
Au 0.5000 0.5000 0.0000
Au 0.5000 0.5000 0.5000
Au 0.6250 0.3750 0.2500
Au 0.6250 0.7500 0.3750
Au 0.7500 0.3750 0.6250
Au 0.7500 0.8750 0.1250
Au 0.8750 0.1250 0.7500
Au 0.8750 0.2500 0.1250